# SrCd2Rh2 | Alexandria | PBE | optimized geometry
# N(E_F)	0.3683	states/eV/atom
# volume	20.32	Å³ per atom
# ΔE to the lowest computed polymorph	0.0594	eV per atom
# calculated formation energy	-0.1281	eV/atom
data_SrCd2Rh2
_cell_length_a 8.0428
_cell_length_b 8.0428
_cell_length_c 3.1416
_cell_angle_alpha 90.00
_cell_angle_beta 90.00
_cell_angle_gamma 90.00
_space_group_name_H-M_alt 'P 4/m b m'
_space_group_IT_number 127
_space_group_name_Hall '-P 4 2ab'
loop_
_atom_site_label
_atom_site_fract_x
_atom_site_fract_y
_atom_site_fract_z
Sr1 0.0000 0.0000 0.0000
Cd1 0.1279 0.3721 0.0000
Rh1 0.1678 0.6678 0.5000